[1]
## AlCoReTc (PBE-GGA)

Data for crystalline AlCoReTc at its relaxed geometry.

Results
Total energy   -8.570 eV/atom

The structure in POSCAR format:
```
AlCoReTc
1.0
0.000 2.995 2.995
2.995 0.000 2.995
2.995 2.995 0.000
Al Co Re Tc
1 1 1 1
Cartesian
0.000 0.000 0.000
1.498 1.498 1.498
2.995 2.995 2.995
4.493 4.493 4.493
```



[2]
## AlZnCoRe (PBE-GGA)

Data for crystalline AlZnCoRe at its relaxed geometry.

Results
Total energy   -5.999 eV/atom

The structure in POSCAR format:
```
AlZnCoRe
1.0
0.000 2.975 2.975
2.975 0.000 2.975
2.975 2.975 0.000
Al Zn Co Re
1 1 1 1
Cartesian
0.000 0.000 0.000
2.975 2.975 2.975
1.488 1.488 1.488
4.463 4.463 4.463
```



[3]
## AlZnCoRe (PBE-GGA)

Data for crystalline AlZnCoRe at its relaxed geometry.

Results
Total energy   -6.006 eV/atom

The structure in POSCAR format:
```
AlZnCoRe
1.0
0.000 2.990 2.990
2.990 0.000 2.990
2.990 2.990 0.000
Al Zn Co Re
1 1 1 1
Cartesian
0.000 0.000 0.000
4.485 4.485 4.485
1.495 1.495 1.495
2.990 2.990 2.990
```



[4]
## ZrAlCoRe (PBE-GGA)

Data for crystalline ZrAlCoRe at its relaxed geometry.

Results
Total energy   -8.142 eV/atom

The structure in POSCAR format:
```
ZrAlCoRe
1.0
0.000 3.123 3.123
3.123 0.000 3.123
3.123 3.123 0.000
Zr Al Co Re
1 1 1 1
Cartesian
0.000 0.000 0.000
3.123 3.123 3.123
4.684 4.684 4.684
1.561 1.561 1.561
```



[5]
## Y3AlCoS7 (PBE-GGA)

Data for crystalline Y3AlCoS7 at its relaxed geometry.

Results
Total energy   -6.476 eV/atom

The structure in POSCAR format:
```
Y3AlCoS7
1.0
9.529 0.000 0.000
-4.764 8.252 0.000
0.000 0.000 6.144
Y Al Co S
6 2 2 14
Cartesian
-0.320 3.089 0.000
-1.929 6.985 0.000
2.515 1.822 3.072
2.249 6.430 0.000
6.694 1.267 3.072
5.085 5.163 3.072
0.000 5.502 2.612
4.764 2.751 5.684
0.000 0.000 2.099
0.000 0.000 5.171
-1.870 4.696 1.671
-0.156 1.836 3.658
-3.096 7.469 3.658
1.512 1.053 0.586
0.000 5.502 4.845
1.633 4.285 1.671
0.237 7.524 1.671
4.528 0.728 4.743
3.131 3.967 4.743
4.764 2.751 1.773
3.252 7.199 3.658
7.860 0.783 0.586
4.921 6.416 0.586
6.634 3.557 4.743
```



[6]
## Al2Co2Sb (PBE-GGA)

Data for crystalline Al2Co2Sb at its relaxed geometry.

Results
Total energy   -5.083 eV/atom

The structure in POSCAR format:
```
Al2Co2Sb
1.0
2.997 0.000 0.000
-1.498 2.595 0.000
0.000 0.000 20.136
Al Co Sb
4 4 2
Cartesian
0.000 1.730 3.712
0.000 1.730 6.357
1.498 0.865 13.780
1.498 0.865 16.425
0.000 1.730 12.032
0.000 1.730 18.172
1.498 0.865 1.964
1.498 0.865 8.104
0.000 0.000 0.000
0.000 0.000 10.068
```